Run A
First-principles (PBE) data for crystalline Pr2NiCl at its relaxed geometry, as listed in Alexandria.

Geometry as POSCAR:
```
Pr2NiCl
1.0
-1.337 3.051 -2.358
-3.595 -0.318 -1.905
-5.056 3.996 4.504
Cl Pr Ni
1 2 1
Cartesian
-4.994 3.364 0.121
-2.338 1.539 -0.215
-7.649 5.190 0.456
0.000 0.000 0.000
```

Magnetic moment: 0.0 μB per cell

Run B
First-principles (PBE) data for crystalline Pr2NiCl at its relaxed geometry, as listed in Alexandria.

Geometry as POSCAR:
```
Pr2NiCl
1.0
4.040 0.000 0.000
2.020 3.499 0.000
2.020 1.166 7.634
Pr Ni Cl
2 1 1
Cartesian
2.020 1.166 1.543
2.020 1.166 6.074
6.061 3.499 7.620
4.040 2.333 3.848
```

Magnetic moment: 0.0 μB per cell

Run C
First-principles (PBE) data for crystalline Pr2NiCl at its relaxed geometry, as listed in Alexandria.

Geometry as POSCAR:
```
Pr2NiCl
1.0
-2.759 -1.258 1.632
-0.339 -2.412 -2.434
4.773 -4.958 4.248
Cl Ni Pr
1 1 2
Cartesian
0.837 -4.314 1.723
-1.549 -1.835 -0.401
3.740 -3.885 3.329
1.033 -1.073 0.919
```

Magnetic moment: 0.0 μB per cell

Which is most stable, and by how much? run A, by 2.0 kJ/mol of atoms.

Run A
First-principles (PBE) data for crystalline NiPt2Cl at its relaxed geometry, as listed in Alexandria.

Geometry as POSCAR:
```
NiPt2Cl
1.0
-1.835 1.051 3.826
1.529 -3.099 1.585
3.093 2.004 0.933
Cl Pt Ni
1 2 1
Cartesian
-0.153 -1.024 2.705
2.311 -0.547 1.259
0.000 0.000 0.000
0.629 1.527 2.379
```

Magnetic moment: 1.6 μB per cell

Run B
First-principles (PBE) data for crystalline NiPt2Cl at its relaxed geometry, as listed in Alexandria.

Geometry as POSCAR:
```
NiPt2Cl
1.0
-0.199 -4.108 1.577
-3.884 -1.733 1.145
-1.783 -3.209 -2.434
Pt Ni Cl
2 1 1
Cartesian
-1.467 -2.263 0.072
-4.400 -6.788 0.217
-2.933 -4.525 0.145
0.000 0.000 0.000
```

Magnetic moment: 1.0 μB per cell

Run C
First-principles (PBE) data for crystalline NiPt2Cl at its relaxed geometry, as listed in Alexandria.

Geometry as POSCAR:
```
NiPt2Cl
1.0
-2.306 -1.669 -0.498
1.702 -2.299 -0.175
-0.784 -1.152 7.494
Pt Ni Cl
2 1 1
Cartesian
0.936 -3.425 7.150
-0.482 -2.248 1.383
-0.898 -2.861 5.365
0.434 -1.763 3.901
```

Magnetic moment: 0.9 μB per cell

Which is most stable, and by how much? run C, by 47.9 kJ/mol of atoms.

Run A
First-principles (PBE) data for crystalline NiPt2Cl at its relaxed geometry, as listed in Alexandria.

Geometry as POSCAR:
```
NiPt2Cl
1.0
-3.497 -7.668 -2.348
-1.962 -8.526 -0.018
-4.638 -7.411 0.327
Ni Pt Cl
1 2 1
Cartesian
-7.591 -17.745 -1.533
-2.610 -6.100 -0.527
-0.119 -0.279 -0.024
-4.827 -11.284 -0.975
```

Magnetic moment: 0.0 μB per cell

Run B
First-principles (PBE) data for crystalline NiPt2Cl at its relaxed geometry, as listed in Alexandria.

Geometry as POSCAR:
```
NiPt2Cl
1.0
-1.766 -7.396 3.066
1.135 -7.214 3.727
-0.887 -5.981 5.538
Cl Pt Ni
1 2 1
Cartesian
-0.380 -5.148 3.083
-0.011 -0.153 0.092
-0.748 -10.143 6.074
-1.139 -15.443 9.248
```

Magnetic moment: 0.0 μB per cell

Run C
First-principles (PBE) data for crystalline NiPt2Cl at its relaxed geometry, as listed in Alexandria.

Geometry as POSCAR:
```
NiPt2Cl
1.0
4.805 -0.062 0.000
1.558 4.546 0.000
-3.182 -2.242 2.819
Ni Pt Cl
1 2 1
Cartesian
2.403 -0.031 1.409
0.000 0.000 0.000
3.182 2.242 0.000
0.779 2.273 1.409
```

Magnetic moment: 2.1 μB per cell

Which is most stable, and by how much? run A, by 13.1 kJ/mol of atoms.

Run A
First-principles (PBE) data for crystalline NiPt2Cl at its relaxed geometry, as listed in Alexandria.

Geometry as POSCAR:
```
NiPt2Cl
1.0
4.797 0.036 0.000
-1.543 4.543 0.000
0.000 0.000 2.787
Cl Ni Pt
1 1 2
Cartesian
2.399 0.018 1.394
-0.771 2.271 1.394
1.627 2.290 0.000
0.000 0.000 0.000
```

Magnetic moment: 1.2 μB per cell

Run B
First-principles (PBE) data for crystalline NiPt2Cl at its relaxed geometry, as listed in Alexandria.

Geometry as POSCAR:
```
NiPt2Cl
1.0
-1.176 2.780 4.446
2.600 -1.261 4.530
0.114 1.819 -5.055
Ni Pt Cl
1 2 1
Cartesian
1.725 0.671 2.054
-0.161 2.694 2.027
0.048 0.052 0.305
0.638 0.680 4.024
```

Magnetic moment: 0.0 μB per cell

Run C
First-principles (PBE) data for crystalline NiPt2Cl at its relaxed geometry, as listed in Alexandria.

Geometry as POSCAR:
```
NiPt2Cl
1.0
2.831 0.003 0.000
-1.432 2.443 0.000
0.000 0.000 9.321
Pt Ni Cl
2 1 1
Cartesian
0.700 1.223 2.110
0.000 0.000 9.023
0.700 1.223 6.941
0.000 0.000 5.228
```

Magnetic moment: 0.5 μB per cell

Run D
First-principles (PBE) data for crystalline NiPt2Cl at its relaxed geometry, as listed in Alexandria.

Geometry as POSCAR:
```
NiPt2Cl
1.0
-7.010 0.134 1.702
-1.438 -4.336 -5.584
-3.896 -4.158 -0.428
Pt Cl Ni
4 2 2
Cartesian
-6.045 -4.559 -1.603
-5.753 -1.494 0.312
-10.359 -6.931 -3.892
-2.531 -3.737 -3.437
-4.224 -2.101 -1.941
-4.779 -5.297 -3.977
-7.565 -3.063 -0.334
0.000 0.000 0.000
```

Magnetic moment: 2.0 μB per cell

Which is most stable, and by how much? run C, by 21.3 kJ/mol of atoms.